Entry 1:
Compound: Zr3Si
Source: Alexandria
Functional: PBE
Structure: optimized geometry

The structure in extended XYZ format:
```
4
Lattice="3.185 0.000 0.000 -1.593 2.759 0.000 0.000 0.000 9.662" Properties=species:S:1:pos:R:3 pbc="T T T"
Zr 0.000 0.000 0.000
Zr 1.593 0.920 2.641
Zr 1.593 0.920 7.021
Si 0.000 0.000 4.831
```

Formation energy without anion corrections in eV/f.u.: -0.6
Symmetry: P-6m2

***

Entry 2:
Compound: HfZr2Sb2
Source: Alexandria
Functional: PBE
Structure: optimized geometry

The structure in extended XYZ format:
```
10
Lattice="5.419 0.000 0.000 0.000 5.327 0.000 -1.983 0.000 7.932" Properties=species:S:1:pos:R:3 pbc="T T T"
Hf 0.710 1.332 0.424
Hf 2.726 3.995 7.509
Zr -0.395 3.995 2.649
Zr 0.052 3.995 5.871
Zr 3.384 1.332 2.062
Zr 3.831 1.332 5.284
Sb 0.687 1.332 3.448
Sb 2.117 3.995 0.972
Sb 1.318 1.332 6.960
Sb 2.749 3.995 4.484
```

Formation energy without anion corrections in eV/f.u.: -2.3
Symmetry: P2_1/m
E above lowest polymorph in meV per atom: 128.1